No. 1
PBE FeCo2B, relaxed; electronic total energy = -7.359 eV per atom; symmetry = Imm2, No. 44; E_form = -0.022 eV per atom
1.0
-1.3737 -1.8923 -0.9375
2.7809 -0.7259 -2.6119
0.9603 -1.1105 4.2199
Co Fe B
2 1 1
Direct
0.6946 0.9013 0.8025
0.9062 0.6129 0.2257
0.1137 0.3205 0.6410
0.4004 0.1071 0.2141


No. 2
PBE FeCo2B, relaxed; electronic total energy = -7.554 eV per atom; symmetry = Pnma, No. 62; E_form = -0.216 eV per atom
1.0
4.4088 0.0000 0.0000
0.0000 5.2534 0.0000
0.0000 0.0000 6.5867
Fe Co B
4 8 4
Direct
0.6287 0.0225 0.2500
0.1287 0.4775 0.7500
0.3713 0.9775 0.7500
0.8713 0.5225 0.2500
0.8515 0.8183 0.5560
0.1485 0.1817 0.4440
0.6485 0.3183 0.5560
0.6485 0.3183 0.9440
0.1485 0.1817 0.0560
0.8515 0.8183 0.9440
0.3515 0.6817 0.0560
0.3515 0.6817 0.4440
0.9214 0.1145 0.7500
0.0786 0.8855 0.2500
0.4214 0.3855 0.2500
0.5786 0.6145 0.7500


No. 3
PBE Fe3CoB, relaxed; electronic total energy = -5.696 eV per atom; symmetry = Pm-3m, No. 221; E_form = 2.138 eV per atom; ΔE to the lowest computed polymorph = 2085.7 meV/atom
1.0
4.0806 0.0000 0.0000
0.0000 4.0806 0.0000
0.0000 0.0000 4.0806
B Fe Co
1 3 1
Direct
0.5000 0.5000 0.5000
0.0000 0.5000 0.0000
0.5000 0.0000 0.0000
0.0000 0.0000 0.5000
0.0000 0.0000 0.0000


No. 4
PBE FeCoB2, relaxed; electronic total energy = -7.376 eV per atom; symmetry = Fm-3m, No. 225; E_form = -0.145 eV per atom; ΔE to the lowest computed polymorph = 225.4 meV/atom
1.0
0.2396 -3.2224 -1.3627
-0.6296 -2.8046 2.0090
-2.8980 -1.9078 -0.5106
B Co Fe
2 1 1
Direct
0.2500 0.2500 0.2500
0.7500 0.7500 0.7500
0.5000 0.5000 0.5000
0.0000 0.0000 0.0000


No. 5
PBE Fe3CoB, relaxed; electronic total energy = -7.446 eV per atom; symmetry = Pm-3m, No. 221; E_form = 0.388 eV per atom; ΔE to the lowest computed polymorph = 335.7 meV/atom
1.0
-1.1027 -3.1080 -1.7141
3.3467 -1.5083 0.5818
-1.1822 -1.3709 3.2461
B Fe Co
1 3 1
Direct
0.0000 0.0000 0.0000
0.0000 0.0000 0.5000
0.5000 0.0000 0.0000
0.0000 0.5000 0.0000
0.5000 0.5000 0.5000


No. 6
PBE FeCoB2, relaxed; electronic total energy = -7.596 eV per atom; symmetry = Amm2, No. 38; E_form = -0.365 eV per atom; ΔE to the lowest computed polymorph = 5.7 meV/atom
1.0
2.8676 0.0000 -0.0192
0.0000 3.0007 0.0000
-1.4090 0.0000 3.6657
B Fe Co
2 1 1
Direct
0.0109 0.0000 0.5612
0.1560 0.5000 0.8508
0.4429 0.5000 0.4248
0.7212 0.0000 0.9813


No. 7
PBE FeCoB2, relaxed; electronic total energy = -7.145 eV per atom; symmetry = R-3m, No. 166; E_form = 0.086 eV per atom; ΔE to the lowest computed polymorph = 457.1 meV/atom
1.0
2.5888 0.0000 0.0000
1.2944 2.2420 0.0000
1.2944 0.7473 5.7038
Co B Fe
1 2 1
Direct
0.5000 0.5000 0.5000
0.2499 0.2499 0.2504
0.7501 0.7501 0.7496
0.0000 0.0000 0.0000


No. 8
PBE FeCo2B2, relaxed; electronic total energy = -6.990 eV per atom; symmetry = I4/mmm, No. 139; E_form = 0.216 eV per atom; ΔE to the lowest computed polymorph = 353.2 meV/atom
1.0
3.5459 0.0000 0.0000
0.0000 3.5459 0.0000
1.7729 1.7729 3.7575
B Co Fe
2 2 1
Direct
0.2500 0.7500 0.5000
0.7500 0.2500 0.5000
0.3549 0.3549 0.2901
0.6451 0.6451 0.7099
0.0000 0.0000 0.0000


No. 9
PBE Fe2CoB2, relaxed; electronic total energy = -7.741 eV per atom; symmetry = Immm, No. 71; E_form = -0.263 eV per atom; ΔE to the lowest computed polymorph = 9.7 meV/atom
1.0
3.0253 0.0000 0.0000
1.5126 3.9300 0.0904
1.5126 1.3855 3.6788
Fe B Co
2 2 1
Direct
0.1973 0.3027 0.3027
0.8027 0.6973 0.6973
0.5000 0.3001 0.6999
0.5000 0.6999 0.3001
0.0000 0.0000 0.0000


No. 10
PBE FeCoB2, relaxed; electronic total energy = -7.602 eV per atom; symmetry = Pmc2_1, No. 26; E_form = -0.371 eV per atom; ΔE to the lowest computed polymorph = 0.0 meV/atom
1.0
-2.4498 1.7324 0.2112
0.0694 -0.3809 3.9303
3.0642 4.2890 0.3615
B Fe Co
4 2 2
Direct
0.5000 0.1226 0.9653
0.0000 0.6347 0.5343
0.5000 0.8774 0.4653
0.0000 0.3653 0.0343
0.5000 0.3768 0.3223
0.5000 0.6232 0.8223
0.0000 0.1280 0.6782
0.0000 0.8720 0.1782


No. 11
PBE Fe3CoB, relaxed; electronic total energy = -7.782 eV per atom; symmetry = R3c, No. 161; E_form = 0.052 eV per atom; ΔE to the lowest computed polymorph = 0.0 meV/atom
1.0
4.9614 -0.0868 -0.0664
1.6710 4.6723 -0.0664
1.6710 1.1553 4.5277
Co B Fe
2 2 6
Direct
0.4277 0.4277 0.4277
0.9277 0.9277 0.9277
0.2448 0.2448 0.2448
0.7448 0.7448 0.7448
0.0747 0.8766 0.3945
0.8945 0.3766 0.5747
0.5747 0.8945 0.3766
0.3945 0.0747 0.8766
0.3766 0.5747 0.8945
0.8766 0.3945 0.0747


No. 12
PBE FeCoB2, relaxed; electronic total energy = -6.928 eV per atom; symmetry = I-42d, No. 122; E_form = 0.303 eV per atom; ΔE to the lowest computed polymorph = 673.8 meV/atom
1.0
-0.5961 5.0970 1.0267
-4.9480 -0.2388 -1.6878
-3.5457 1.8657 2.0172
B Co Fe
4 2 2
Direct
0.8750 0.8768 0.7500
0.3750 0.3732 0.7500
0.1232 0.6250 0.2500
0.6268 0.1250 0.2500
0.0000 0.0000 0.0000
0.7500 0.2500 0.5000
0.2500 0.7500 0.5000
0.5000 0.5000 0.0000